# 1
DFT (PBE-GGA) results for a relaxed structure of Fe2Ni6Pt.

Symmetry: No. 12
Electronic total energy (eV/atom): -6.496
Energy of formation (meV/atom): -90

Unit cell a=4.4187 b=4.4187 c=7.6413 alpha=106.88 beta=106.88 gamma=48.15
Fractional positions:
Fe 0.1753 0.1753 0.2339
Fe 0.8247 0.8247 0.7661
Ni 0.1648 0.1648 0.5518
Ni 0.1652 0.1652 0.8813
Ni 0.4991 0.4991 0.6609
Ni 0.5009 0.5009 0.3391
Ni 0.8348 0.8348 0.1187
Ni 0.8352 0.8352 0.4482
Pt 0.5000 0.5000 0.0000

# 2
DFT (PBE-GGA) results for a relaxed structure of NbGeAs2.

Symmetry: No. 1
Electronic total energy (eV/atom): -6.087
Energy of formation (meV/atom): -90

Unit cell a=5.2037 b=5.2275 c=5.6921 alpha=86.95 beta=80.68 gamma=73.62
Fractional positions:
Nb 0.0000 0.0000 0.0000
Nb 0.0483 0.5001 0.6280
Ge 0.3687 0.7003 0.2650
Ge 0.4804 0.6677 0.7333
As 0.4205 0.1754 0.8900
As 0.4727 0.1338 0.3745
As 0.8778 0.5297 0.1317
As 0.9164 0.0461 0.5394

# 3
DFT (PBE-GGA) results for a relaxed structure of Tl2SbO3.

Symmetry: No. 63
Electronic total energy (eV/atom): -4.826
E_form (uncorrected) (meV/atom): -871

Unit cell a=6.5823 b=6.5823 c=6.2789 alpha=90.00 beta=90.00 gamma=64.50
Fractional positions:
Tl 0.0503 0.2693 0.2500
Tl 0.2693 0.0503 0.7500
Tl 0.7307 0.9497 0.2500
Tl 0.9497 0.7307 0.7500
Sb 0.4369 0.5631 0.2500
Sb 0.5631 0.4369 0.7500
O 0.1620 0.8380 0.2500
O 0.3799 0.3799 0.0000
O 0.3799 0.3799 0.5000
O 0.6201 0.6201 0.0000
O 0.6201 0.6201 0.5000
O 0.8380 0.1620 0.7500

# 4
DFT (PBE-GGA) results for a relaxed structure of CsSrCo2I.

Symmetry: No. 123
Electronic total energy (eV/atom): -2.957
E_form (uncorrected) (meV/atom): 702

Unit cell a=5.9262 b=5.9262 c=6.5402 alpha=90.00 beta=90.00 gamma=90.00
Fractional positions:
Cs 0.0000 0.0000 0.0000
Sr 0.5000 0.5000 0.5000
Co 0.0000 0.5000 0.5000
Co 0.5000 0.0000 0.5000
I 0.5000 0.5000 0.0000

# 5
DFT (PBE-GGA) results for a relaxed structure of Ba2YReN.

Symmetry: No. 123
Electronic total energy (eV/atom): -5.737
E_form (uncorrected) (meV/atom): 479

Unit cell a=5.5965 b=5.5965 c=4.6061 alpha=90.00 beta=90.00 gamma=90.00
Fractional positions:
Ba 0.0000 0.5000 0.0000
Ba 0.5000 0.0000 0.0000
Y 0.0000 0.0000 0.5000
Re 0.5000 0.5000 0.5000
N 0.0000 0.0000 0.0000

# 6
DFT (PBE-GGA) results for a relaxed structure of Nd2TlZn2.

Symmetry: No. 127
Electronic total energy (eV/atom): -3.219
Energy of formation (meV/atom): -329

Unit cell a=7.3665 b=7.3665 c=4.6197 alpha=90.00 beta=90.00 gamma=90.00
Fractional positions:
Nd 0.1751 0.3249 0.0000
Nd 0.3249 0.8249 0.0000
Nd 0.6751 0.1751 0.0000
Nd 0.8249 0.6751 0.0000
Tl 0.0000 0.0000 0.5000
Tl 0.5000 0.5000 0.5000
Zn 0.1223 0.6223 0.5000
Zn 0.3777 0.1223 0.5000
Zn 0.6223 0.8777 0.5000
Zn 0.8777 0.3777 0.5000

Looking at V for the records above, in order, we have 11.7 18.3 20.5 45.9 28.9 25.1 Å³/atom.